No. 1
## YPbAu (GGA-PBE)

Data for a relaxed structure of YPbAu.

Values from the calculation:
* M_tot: 0.0 μB per formula unit
* E_form: -0.5325 eV/atom

abc: 3.8198 5.2347 7.9888
angles: 73.27 89.98 89.80
With the nearest neighbours (Å) after each atom.
Fractional coordinates of all 6 atoms:
Y1 0.9997 0.1761 0.1658  6 Au 3.00-3.26, 2 Pb 3.19-3.20
Y2 0.0003 0.8239 0.8342  6 Au 3.00-3.26, 2 Pb 3.19-3.20
Pb1 0.0000 0.5000 0.5000  4 Pb 3.23-3.25, 4 Au 3.37-3.38, 2 Y 3.55
Pb2 0.5000 0.0000 0.5000  4 Y 3.19-3.20, 4 Pb 3.23-3.25
Au1 0.4987 0.3099 0.8636  6 Y 3.00-3.26, 2 Au 3.35
Au2 0.5013 0.6901 0.1364  6 Y 3.00-3.26, 2 Au 3.35

***

No. 2
## Na3Sn4S8 (GGA-PBE)

Data for a relaxed structure of Na3Sn4S8.

Values from the calculation:
* M_tot: 0.0 μB per formula unit
* energy: -62.47 eV per cell

abc: 7.8969 7.8969 7.6622
angles: 118.54 118.54 91.09
With the nearest neighbours (Å) after each atom.
Fractional coordinates of all 15 atoms:
Na1 0.0000 0.0000 0.0000  6 S 2.89-2.99
Na2 0.0000 0.5000 0.0000  6 S 2.77-2.83
Na3 0.5000 0.0000 0.0000  6 S 2.77-2.83
Sn1 0.0000 0.5000 0.5000  6 S 2.77-2.82
Sn2 0.5000 0.0000 0.5000  6 S 2.77-2.82
Sn3 0.5000 0.5000 0.0000  6 S 2.57-2.72
Sn4 0.5000 0.5000 0.5000  6 S 2.58-2.68
S1 0.2648 0.2648 0.5148  4 Sn 2.68-2.82, 1 Na 2.89
S2 0.2651 0.7349 0.0000  3 Sn 2.65-2.81, 2 Na 2.77
S3 0.2700 0.7300 0.5000  3 Sn 2.59-2.77, 2 Na 2.81
S4 0.2870 0.2870 0.0399  2 Sn 2.57-2.58, 2 Na 2.83
S5 0.7130 0.7130 0.9601  2 Sn 2.57-2.58, 2 Na 2.83
S6 0.7300 0.2700 0.5000  3 Sn 2.59-2.77, 2 Na 2.81
S7 0.7349 0.2651 0.0000  3 Sn 2.65-2.81, 2 Na 2.77
S8 0.7352 0.7352 0.4852  4 Sn 2.68-2.82, 1 Na 2.89

***

No. 3
## NaAlPb2 (GGA-PBE)

Data for a relaxed structure of NaAlPb2.

Values from the calculation:
* M_tot: 0.0 μB per formula unit
* E_form: 0.1875 eV/atom

abc: 10.1833 10.1833 10.1833
angles: 151.08 151.08 41.36
With the nearest neighbours (Å) after each atom.
Fractional coordinates of all 8 atoms:
Na1 0.0000 0.0000 0.0000  4 Pb 3.08
Na2 0.7500 0.2500 0.5000  4 Pb 3.08
Al1 0.2500 0.7500 0.5000  4 Pb 2.90
Al2 0.5000 0.5000 0.0000  4 Pb 2.90
Pb1 0.1664 0.6250 0.0414  2 Al 2.90, 2 Na 3.08
Pb2 0.3750 0.4164 0.5414  2 Al 2.90, 2 Na 3.08
Pb3 0.5836 0.1250 0.9586  2 Al 2.90, 2 Na 3.08
Pb4 0.8750 0.8336 0.4586  2 Al 2.90, 2 Na 3.08

***

No. 4
## CeTh5Pt6 (GGA-PBE)

Data for a relaxed structure of CeTh5Pt6.

Values from the calculation:
* M_tot: 0.9 μB per formula unit
* E_form: -1.1693 eV/atom

abc: 7.3414 7.3414 7.1257
angles: 99.85 99.85 119.88
With the nearest neighbours (Å) after each atom.
Fractional coordinates of all 12 atoms:
Ce1 0.0000 0.0000 0.0000  6 Pt 2.98
Th1 0.1672 0.8328 0.5000  6 Pt 2.95-2.97
Th2 0.3336 0.6664 0.0000  6 Pt 2.96-2.97
Th3 0.5000 0.5000 0.5000  6 Pt 2.95-2.97
Th4 0.6664 0.3336 0.0000  6 Pt 2.96-2.97
Th5 0.8328 0.1672 0.5000  6 Pt 2.95-2.97
Pt1 0.0835 0.4183 0.2505  5 Th 2.95-2.97, 1 Ce 2.98
Pt2 0.2510 0.2510 0.7486  5 Th 2.95-2.97, 1 Ce 2.98
Pt3 0.4183 0.0835 0.2505  5 Th 2.95-2.97, 1 Ce 2.98
Pt4 0.5817 0.9165 0.7495  5 Th 2.95-2.97, 1 Ce 2.98
Pt5 0.7490 0.7490 0.2514  5 Th 2.95-2.97, 1 Ce 2.98
Pt6 0.9165 0.5817 0.7495  5 Th 2.95-2.97, 1 Ce 2.98

***

No. 5
## SrFePb2 (GGA-PBE)

Data for a relaxed structure of SrFePb2.

Values from the calculation:
* M_tot: 2.3 μB per formula unit
* E_form: 0.1509 eV/atom

abc: 3.5755 3.5755 8.0756
angles: 90.00 90.00 90.00
With the nearest neighbours (Å) after each atom.
Fractional coordinates of all 4 atoms:
Sr1 0.0000 0.0000 0.0000  8 Pb 3.52, 4 Sr 3.58
Fe1 0.0000 0.0000 0.5000  8 Pb 2.99
Pb1 0.5000 0.5000 0.3032  4 Fe 2.99, 1 Pb 3.18
Pb2 0.5000 0.5000 0.6968  4 Fe 2.99, 1 Pb 3.18

***

No. 6
## LaTm2Se4 (GGA-PBE)

Data for a relaxed structure of LaTm2Se4.

Values from the calculation:
* M_tot: 0.0 μB per formula unit
* energy: -82.31 eV per cell

abc: 6.9656 6.9656 13.7729
angles: 90.00 90.00 146.18
With the nearest neighbours (Å) after each atom.
Fractional coordinates of all 14 atoms:
La1 0.1209 0.8791 0.7500  6 Se 3.02-3.08
La2 0.8791 0.1209 0.2500  6 Se 3.02-3.08
Tm1 0.3688 0.6312 0.5656  6 Se 2.78-2.85
Tm2 0.3688 0.6312 0.9344  6 Se 2.78-2.85
Tm3 0.6312 0.3688 0.0656  6 Se 2.78-2.85
Tm4 0.6312 0.3688 0.4344  6 Se 2.78-2.85
Se1 0.0000 0.0000 0.0000  4 Tm 2.82
Se2 0.0000 0.0000 0.5000  4 Tm 2.82
Se3 0.2713 0.7287 0.1183  3 Tm 2.85, 2 La 3.08
Se4 0.2713 0.7287 0.3817  3 Tm 2.85, 2 La 3.08
Se5 0.4532 0.5468 0.7500  2 Tm 2.78, 2 La 3.02
Se6 0.5468 0.4532 0.2500  2 Tm 2.78, 2 La 3.02
Se7 0.7287 0.2713 0.6183  3 Tm 2.85, 2 La 3.08
Se8 0.7287 0.2713 0.8817  3 Tm 2.85, 2 La 3.08

***

No. 7
## LaNd4Tm7 (GGA-PBE)

Data for a relaxed structure of LaNd4Tm7.

Values from the calculation:
* M_tot: 0.0 μB per formula unit
* E_form: 0.0168 eV/atom
* E above lowest polymorph: 0.000 eV per atom

abc: 6.2626 7.2090 8.8867
angles: 90.08 103.67 90.04
With the nearest neighbours (Å) after each atom.
Fractional coordinates of all 12 atoms:
La1 0.0000 0.0000 0.0000  10 Tm 3.54-3.61, 2 Nd 3.57
Nd1 0.2223 0.4999 0.6686  8 Tm 3.54-3.62, 4 Nd 3.56-3.62
Nd2 0.2797 0.7507 0.3358  8 Tm 3.53-3.62, 3 Nd 3.56-3.62, 1 La 3.57
Nd3 0.7203 0.2493 0.6642  8 Tm 3.53-3.62, 3 Nd 3.56-3.62, 1 La 3.57
Nd4 0.7777 0.5001 0.3314  8 Tm 3.54-3.62, 4 Nd 3.56-3.62
Tm1 0.0000 0.5000 0.0000  4 Nd 3.54-3.57, 6 Tm 3.55-3.62, 2 La 3.60
Tm2 0.2219 0.9998 0.6662  5 Nd 3.53-3.62, 6 Tm 3.54-3.61, 1 La 3.56
Tm3 0.2773 0.2483 0.3326  1 La 3.54, 6 Nd 3.54-3.62, 5 Tm 3.54-3.61
Tm4 0.4994 0.2483 0.0012  3 Nd 3.54-3.58, 7 Tm 3.54-3.63, 2 La 3.60-3.61
Tm5 0.5006 0.7517 0.9988  3 Nd 3.54-3.58, 7 Tm 3.54-3.63, 2 La 3.60-3.61
Tm6 0.7227 0.7517 0.6674  1 La 3.54, 6 Nd 3.54-3.62, 5 Tm 3.54-3.61
Tm7 0.7781 0.0002 0.3338  5 Nd 3.53-3.62, 6 Tm 3.54-3.61, 1 La 3.56

***

No. 8
## Th2SiN4 (GGA-PBE)

Data for a relaxed structure of Th2SiN4.

Values from the calculation:
* M_tot: 0.0 μB per formula unit
* energy: -126.48 eV per cell

abc: 5.4897 5.5912 6.9963
angles: 90.00 109.16 90.00
With the nearest neighbours (Å) after each atom.
Fractional coordinates of all 14 atoms:
Th1 0.2027 0.2500 0.0259  4 N 2.40-2.44
Th2 0.2789 0.2500 0.5617  6 N 2.40-2.65
Th3 0.7211 0.7500 0.4383  6 N 2.40-2.65
Th4 0.7973 0.7500 0.9741  4 N 2.40-2.44
Si1 0.2433 0.7500 0.7948  4 N 1.73-1.77
Si2 0.7567 0.2500 0.2052  4 N 1.73-1.77
N1 0.0337 0.5085 0.7316  1 Si 1.73
N2 0.0337 0.9915 0.7316  1 Si 1.73
N3 0.4064 0.7500 0.0592  1 Si 1.77
N4 0.4589 0.7500 0.6540  1 Si 1.77
N5 0.5411 0.2500 0.3460  1 Si 1.77
N6 0.5936 0.2500 0.9408  1 Si 1.77
N7 0.9663 0.0085 0.2684  1 Si 1.73
N8 0.9663 0.4915 0.2684  1 Si 1.73

***

Repeat the second record exactly.
## Na3Sn4S8 (GGA-PBE)

Data for a relaxed structure of Na3Sn4S8.

Values from the calculation:
* M_tot: 0.0 μB per formula unit
* energy: -62.47 eV per cell

abc: 7.8969 7.8969 7.6622
angles: 118.54 118.54 91.09
With the nearest neighbours (Å) after each atom.
Fractional coordinates of all 15 atoms:
Na1 0.0000 0.0000 0.0000  6 S 2.89-2.99
Na2 0.0000 0.5000 0.0000  6 S 2.77-2.83
Na3 0.5000 0.0000 0.0000  6 S 2.77-2.83
Sn1 0.0000 0.5000 0.5000  6 S 2.77-2.82
Sn2 0.5000 0.0000 0.5000  6 S 2.77-2.82
Sn3 0.5000 0.5000 0.0000  6 S 2.57-2.72
Sn4 0.5000 0.5000 0.5000  6 S 2.58-2.68
S1 0.2648 0.2648 0.5148  4 Sn 2.68-2.82, 1 Na 2.89
S2 0.2651 0.7349 0.0000  3 Sn 2.65-2.81, 2 Na 2.77
S3 0.2700 0.7300 0.5000  3 Sn 2.59-2.77, 2 Na 2.81
S4 0.2870 0.2870 0.0399  2 Sn 2.57-2.58, 2 Na 2.83
S5 0.7130 0.7130 0.9601  2 Sn 2.57-2.58, 2 Na 2.83
S6 0.7300 0.2700 0.5000  3 Sn 2.59-2.77, 2 Na 2.81
S7 0.7349 0.2651 0.0000  3 Sn 2.65-2.81, 2 Na 2.77
S8 0.7352 0.7352 0.4852  4 Sn 2.68-2.82, 1 Na 2.89

***

Question: What is the M_tot in the second record?
Answer: 0.0 μB per formula unit

***

Question: Which value of M_tot does entry 5 give?
Answer: 2.3 μB per formula unit